! Li2BiAs2, single point on PBEsol structure, DFT meta-GGA SCAN; values from VASP
&SYSTEM
  ibrav = 0, nat = 10, ntyp = 3
/
ATOMIC_SPECIES
As 74.92 As.upf
Bi 208.98 Bi.upf
Li 6.94 Li.upf
ATOMIC_POSITIONS crystal
As 0.000 0.325 0.825
As 0.000 0.825 0.675
As 0.000 0.675 0.175
As 0.000 0.175 0.325
Bi 0.000 0.000 0.000
Bi 0.000 0.500 0.500
Li 0.500 0.122 0.622
Li 0.500 0.622 0.878
Li 0.500 0.878 0.378
Li 0.500 0.378 0.122
CELL_PARAMETERS angstrom
-2.044 -1.154 -1.849
1.137 -7.317 3.308
-5.806 1.558 5.444
! Size of the total moment in μB/f.u.: 0.00
! Formation energy from the elements in kcal/mol of atoms: -7.565

***

! LiBiAs2, single point on PBEsol structure, DFT meta-GGA SCAN; values from VASP
&SYSTEM
  ibrav = 0, nat = 8, ntyp = 3
/
ATOMIC_SPECIES
As 74.92 As.upf
Bi 208.98 Bi.upf
Li 6.94 Li.upf
ATOMIC_POSITIONS crystal
As 0.847 0.375 0.250
As 0.403 0.875 0.250
As 0.625 0.597 0.750
As 0.125 0.153 0.750
Bi 0.250 0.750 0.500
Bi 0.000 0.000 0.000
Li 0.750 0.250 0.500
Li 0.500 0.500 0.000
CELL_PARAMETERS angstrom
-2.255 -4.013 3.893
5.527 -0.970 2.203
-2.473 6.869 0.980
! Size of the total moment in μB/f.u.: 0.00
! Formation energy from the elements in kcal/mol of atoms: -0.328

***

! Li3BiAs, single point on PBEsol structure, DFT meta-GGA SCAN; values from VASP
&SYSTEM
  ibrav = 0, nat = 5, ntyp = 3
/
ATOMIC_SPECIES
As 74.92 As.upf
Bi 208.98 Bi.upf
Li 6.94 Li.upf
ATOMIC_POSITIONS crystal
As 0.000 0.000 0.000
Bi 0.500 0.500 0.500
Li 0.000 0.500 0.000
Li 0.000 0.000 0.500
Li 0.500 0.000 0.000
CELL_PARAMETERS angstrom
-0.101 -2.282 4.138
-0.008 -4.139 -2.283
4.725 -0.056 0.085
! Size of the total moment in μB/f.u.: 0.00
! Formation energy from the elements in kcal/mol of atoms: -5.807

***

! MgBi3As, single point on PBEsol structure, DFT meta-GGA SCAN; values from VASP
&SYSTEM
  ibrav = 0, nat = 5, ntyp = 3
/
ATOMIC_SPECIES
Mg 24.30 Mg.upf
As 74.92 As.upf
Bi 208.98 Bi.upf
ATOMIC_POSITIONS crystal
Mg 0.500 0.500 0.500
As 0.000 0.000 0.000
Bi 0.000 0.500 0.000
Bi 0.000 0.000 0.500
Bi 0.500 0.000 0.000
CELL_PARAMETERS angstrom
-3.025 3.275 3.233
1.786 -2.730 4.437
4.241 3.485 0.438
! Size of the total moment in μB/f.u.: 0.00
! Formation energy from the elements in kcal/mol of atoms: 13.709

***

! MgBiAsSe2, single point on PBEsol structure, DFT meta-GGA SCAN; values from VASP
&SYSTEM
  ibrav = 0, nat = 5, ntyp = 4
/
ATOMIC_SPECIES
Mg 24.30 Mg.upf
As 74.92 As.upf
Bi 208.98 Bi.upf
Se 78.96 Se.upf
ATOMIC_POSITIONS crystal
Mg 0.000 0.000 0.000
As 0.000 0.000 0.500
Bi 0.500 0.500 0.500
Se 0.000 0.500 0.000
Se 0.500 0.000 0.000
CELL_PARAMETERS angstrom
4.965 0.000 0.000
0.000 4.965 0.000
0.000 0.000 4.924
! Size of the total moment in μB/f.u.: 0.00
! Distance to the lowest polymorph of the same formula in eV/atom: 0.0000
! Formation energy without anion corrections in kJ per mole of atoms: 20.6

***

! MnBiAs3, single point on PBEsol structure, DFT meta-GGA SCAN; values from VASP
&SYSTEM
  ibrav = 0, nat = 5, ntyp = 3
/
ATOMIC_SPECIES
As 74.92 As.upf
Mn 54.94 Mn.upf
Bi 208.98 Bi.upf
ATOMIC_POSITIONS crystal
As 0.000 0.500 0.000
As 0.000 0.000 0.500
As 0.500 0.000 0.000
Mn 0.000 0.000 0.000
Bi 0.500 0.500 0.500
CELL_PARAMETERS angstrom
-0.049 -3.291 3.254
3.657 1.967 2.044
-2.837 2.593 2.580
! Size of the total moment in μB/f.u.: 0.00
! Distance to the lowest polymorph of the same formula in eV/atom: 0.0000
! Formation energy from the elements in kcal/mol of atoms: 9.688

***

! MnBiAsS2, single point on PBEsol structure, DFT meta-GGA SCAN; values from VASP
&SYSTEM
  ibrav = 0, nat = 5, ntyp = 4
/
ATOMIC_SPECIES
S 32.06 S.upf
As 74.92 As.upf
Mn 54.94 Mn.upf
Bi 208.98 Bi.upf
ATOMIC_POSITIONS crystal
S 0.000 0.500 0.000
S 0.500 0.000 0.000
As 0.500 0.500 0.500
Mn 0.000 0.000 0.500
Bi 0.000 0.000 0.000
CELL_PARAMETERS angstrom
5.177 0.000 0.000
0.000 5.177 0.000
0.000 0.000 5.209
! Size of the total moment in μB/f.u.: 2.92
! Formation energy without anion corrections in kJ per mole of atoms: 91.6

***

! MnBiAs2Se, single point on PBEsol structure, DFT meta-GGA SCAN; values from VASP
&SYSTEM
  ibrav = 0, nat = 5, ntyp = 4
/
ATOMIC_SPECIES
As 74.92 As.upf
Mn 54.94 Mn.upf
Bi 208.98 Bi.upf
Se 78.96 Se.upf
ATOMIC_POSITIONS crystal
As 0.000 0.500 0.000
As 0.500 0.000 0.000
Mn 0.500 0.500 0.500
Bi 0.000 0.000 0.000
Se 0.000 0.000 0.500
CELL_PARAMETERS angstrom
-3.439 3.724 1.698
-0.785 -2.777 4.500
4.038 2.660 2.345
! Size of the total moment in μB/f.u.: 3.40
! Formation energy without anion corrections in kJ per mole of atoms: 96.1

***

! BiMo2As2, single point on PBEsol structure, DFT meta-GGA SCAN; values from VASP
&SYSTEM
  ibrav = 0, nat = 5, ntyp = 3
/
ATOMIC_SPECIES
As 74.92 As.upf
Mo 95.94 Mo.upf
Bi 208.98 Bi.upf
ATOMIC_POSITIONS crystal
As 0.250 0.750 0.500
As 0.750 0.250 0.500
Mo 0.384 0.384 0.768
Mo 0.616 0.616 0.232
Bi 0.000 0.000 0.000
CELL_PARAMETERS angstrom
-1.498 2.237 2.743
-2.959 -2.425 0.363
5.388 -3.113 2.788
! Size of the total moment in μB/f.u.: 0.00
! Formation energy from the elements in kcal/mol of atoms: 6.521

***

! BiMoAsSe2, single point on PBEsol structure, DFT meta-GGA SCAN; values from VASP
&SYSTEM
  ibrav = 0, nat = 5, ntyp = 4
/
ATOMIC_SPECIES
As 74.92 As.upf
Mo 95.94 Mo.upf
Bi 208.98 Bi.upf
Se 78.96 Se.upf
ATOMIC_POSITIONS crystal
As 0.000 0.000 0.500
Mo 0.000 0.000 0.000
Bi 0.500 0.500 0.500
Se 0.000 0.500 0.000
Se 0.500 0.000 0.000
CELL_PARAMETERS angstrom
-0.931 -1.622 -4.476
-2.694 -3.582 1.858
-4.006 2.900 -0.218
! Size of the total moment in μB/f.u.: 1.35
! Distance to the lowest polymorph of the same formula in eV/atom: 0.0000
! Formation energy without anion corrections in kJ per mole of atoms: 34.5

***

! Bi3AsN, single point on PBEsol structure, DFT meta-GGA SCAN; values from VASP
&SYSTEM
  ibrav = 0, nat = 5, ntyp = 3
/
ATOMIC_SPECIES
As 74.92 As.upf
Bi 208.98 Bi.upf
N 14.01 N.upf
ATOMIC_POSITIONS crystal
As 0.000 0.000 0.000
Bi 0.000 0.500 0.000
Bi 0.000 0.000 0.500
Bi 0.500 0.000 0.000
N 0.500 0.500 0.500
CELL_PARAMETERS angstrom
-0.619 1.884 5.139
4.499 -2.771 1.557
3.118 4.372 -1.227
! Size of the total moment in μB/f.u.: 2.53
! Formation energy without anion corrections in kJ per mole of atoms: 149.0

***

! BiAsSN2, single point on PBEsol structure, DFT meta-GGA SCAN; values from VASP
&SYSTEM
  ibrav = 0, nat = 5, ntyp = 4
/
ATOMIC_SPECIES
S 32.06 S.upf
As 74.92 As.upf
Bi 208.98 Bi.upf
N 14.01 N.upf
ATOMIC_POSITIONS crystal
S 0.000 0.000 0.500
As 0.000 0.000 0.000
Bi 0.500 0.500 0.500
N 0.000 0.500 0.000
N 0.500 0.000 0.000
CELL_PARAMETERS angstrom
3.903 0.000 0.000
0.000 3.903 0.000
0.000 0.000 4.794
! Size of the total moment in μB/f.u.: 0.34
! Formation energy without anion corrections in kJ per mole of atoms: 104.3

***

! BiSbAsN2, single point on PBEsol structure, DFT meta-GGA SCAN; values from VASP
&SYSTEM
  ibrav = 0, nat = 5, ntyp = 4
/
ATOMIC_SPECIES
Sb 121.76 Sb.upf
As 74.92 As.upf
Bi 208.98 Bi.upf
N 14.01 N.upf
ATOMIC_POSITIONS crystal
Sb 0.000 0.000 0.500
As 0.000 0.000 0.000
Bi 0.500 0.500 0.500
N 0.000 0.500 0.000
N 0.500 0.000 0.000
CELL_PARAMETERS angstrom
4.119 0.000 0.000
0.000 4.119 0.000
0.000 0.000 5.320
! Size of the total moment in μB/f.u.: 1.55
! Formation energy without anion corrections in kJ per mole of atoms: 134.2

***

! BiTeAsN2, single point on PBEsol structure, DFT meta-GGA SCAN; values from VASP
&SYSTEM
  ibrav = 0, nat = 5, ntyp = 4
/
ATOMIC_SPECIES
As 74.92 As.upf
Te 127.60 Te.upf
Bi 208.98 Bi.upf
N 14.01 N.upf
ATOMIC_POSITIONS crystal
As 0.000 0.000 0.000
Te 0.000 0.000 0.500
Bi 0.500 0.500 0.500
N 0.000 0.500 0.000
N 0.500 0.000 0.000
CELL_PARAMETERS angstrom
4.143 0.000 0.000
0.000 4.143 0.000
0.000 0.000 5.328
! Size of the total moment in μB/f.u.: 1.44
! Formation energy without anion corrections in kJ per mole of atoms: 132.0

***

! Na2BiAs, single point on PBEsol structure, DFT meta-GGA SCAN; values from VASP
&SYSTEM
  ibrav = 0, nat = 4, ntyp = 3
/
ATOMIC_SPECIES
Na 22.99 Na.upf
As 74.92 As.upf
Bi 208.98 Bi.upf
ATOMIC_POSITIONS crystal
Na 0.250 0.250 0.250
Na 0.750 0.750 0.750
As 0.000 0.000 0.000
Bi 0.500 0.500 0.500
CELL_PARAMETERS angstrom
5.130 0.000 0.000
2.565 4.442 0.000
2.565 1.481 4.188
! Size of the total moment in μB/f.u.: 0.00
! Formation energy from the elements in kcal/mol of atoms: -4.401

***

! NbBiAs2Se, single point on PBEsol structure, DFT meta-GGA SCAN; values from VASP
&SYSTEM
  ibrav = 0, nat = 5, ntyp = 4
/
ATOMIC_SPECIES
As 74.92 As.upf
Nb 92.91 Nb.upf
Bi 208.98 Bi.upf
Se 78.96 Se.upf
ATOMIC_POSITIONS crystal
As 0.000 0.000 0.500
As 0.000 0.500 0.000
Nb 0.000 0.000 0.000
Bi 0.500 0.500 0.500
Se 0.500 0.000 0.000
CELL_PARAMETERS angstrom
-3.197 -1.245 3.482
2.207 -4.502 0.416
3.101 1.844 3.506
! Size of the total moment in μB/f.u.: 0.00
! Formation energy without anion corrections in kJ per mole of atoms: 25.8

***

! NiBiAsO5, single point on PBEsol structure, DFT meta-GGA SCAN; values from VASP
&SYSTEM
  ibrav = 0, nat = 16, ntyp = 4
/
ATOMIC_SPECIES
Ni 58.69 Ni.upf
Bi 208.98 Bi.upf
As 74.92 As.upf
O 16.00 O.upf
ATOMIC_POSITIONS crystal
Ni 0.833 0.364 0.743
Ni 0.167 0.636 0.257
Bi 0.407 0.230 0.966
Bi 0.593 0.770 0.034
As 0.842 0.812 0.610
As 0.158 0.188 0.390
O 0.774 0.498 0.049
O 0.226 0.502 0.951
O 0.270 0.356 0.276
O 0.730 0.644 0.724
O 0.576 0.775 0.371
O 0.424 0.225 0.629
O 0.086 0.914 0.195
O 0.914 0.086 0.805
O 0.858 0.234 0.431
O 0.142 0.766 0.569
CELL_PARAMETERS angstrom
-2.893 -3.500 2.526
4.432 -4.409 -2.385
2.774 4.045 4.716
! Size of the total moment in μB/f.u.: 1.98
! Formation energy without anion corrections in kJ per mole of atoms: -130.8

***

! Ni18Bi3AsS16, single point on PBEsol structure, DFT meta-GGA SCAN; values from VASP
&SYSTEM
  ibrav = 0, nat = 38, ntyp = 4
/
ATOMIC_SPECIES
Ni 58.69 Ni.upf
Bi 208.98 Bi.upf
As 74.92 As.upf
S 32.06 S.upf
ATOMIC_POSITIONS crystal
Ni 0.286 0.521 0.521
Ni 0.000 0.521 0.235
Ni 0.500 0.000 0.500
Ni 0.000 0.953 0.299
Ni 0.000 0.701 0.047
Ni 0.654 0.701 0.701
Ni 0.000 0.765 0.479
Ni 0.346 0.299 0.299
Ni 0.286 0.765 0.765
Ni 0.654 0.953 0.953
Ni 0.000 0.299 0.953
Ni 0.714 0.235 0.235
Ni 0.714 0.479 0.479
Ni 0.000 0.235 0.521
Ni 0.346 0.047 0.047
Ni 0.500 0.500 0.000
Ni 0.000 0.479 0.765
Ni 0.000 0.047 0.701
Bi 0.500 0.750 0.250
Bi 0.500 0.250 0.750
Bi 0.000 0.000 0.000
As 0.000 0.500 0.500
S 0.228 0.761 0.988
S 0.772 0.012 0.239
S 0.486 0.836 0.651
S 0.514 0.164 0.349
S 0.815 0.651 0.164
S 0.815 0.164 0.651
S 0.514 0.349 0.164
S 0.185 0.836 0.349
S 0.228 0.239 0.467
S 0.486 0.651 0.836
S 0.228 0.467 0.239
S 0.772 0.239 0.012
S 0.185 0.349 0.836
S 0.772 0.533 0.761
S 0.772 0.761 0.533
S 0.228 0.988 0.761
CELL_PARAMETERS angstrom
-8.582 -1.837 -1.534
4.813 -7.490 0.322
0.989 4.084 7.856
! Size of the total moment in μB/f.u.: 0.00
! Formation energy without anion corrections in kJ per mole of atoms: -38.1

***

! Bi2AsO, single point on PBEsol structure, DFT meta-GGA SCAN; values from VASP
&SYSTEM
  ibrav = 0, nat = 4, ntyp = 3
/
ATOMIC_SPECIES
As 74.92 As.upf
Bi 208.98 Bi.upf
O 16.00 O.upf
ATOMIC_POSITIONS crystal
As 0.500 0.500 0.500
Bi 0.250 0.250 0.250
Bi 0.750 0.750 0.750
O 0.000 0.000 0.000
CELL_PARAMETERS angstrom
-2.393 4.200 0.066
-4.831 0.033 -0.183
-2.558 1.264 3.903
! Size of the total moment in μB/f.u.: 0.00
! Distance to the lowest polymorph of the same formula in eV/atom: 0.2576
! Formation energy without anion corrections in kJ per mole of atoms: 14.8

***

! BiAsO4, single point on PBEsol structure, DFT meta-GGA SCAN; values from VASP
&SYSTEM
  ibrav = 0, nat = 12, ntyp = 3
/
ATOMIC_SPECIES
As 74.92 As.upf
Bi 208.98 Bi.upf
O 16.00 O.upf
ATOMIC_POSITIONS crystal
As 0.250 0.750 0.500
As 0.000 0.000 0.000
Bi 0.750 0.250 0.500
Bi 0.500 0.500 0.000
O 0.473 0.582 0.658
O 0.777 0.168 0.842
O 0.418 0.815 0.342
O 0.185 0.076 0.658
O 0.326 0.223 0.158
O 0.924 0.527 0.342
O 0.065 0.674 0.842
O 0.832 0.935 0.158
CELL_PARAMETERS angstrom
5.101 0.000 0.000
0.000 5.101 0.000
-2.551 -2.551 5.812
! Size of the total moment in μB/f.u.: 0.00
! Formation energy without anion corrections in kJ per mole of atoms: -132.0

***

The calculation returns the following total DFT energy (no corrections) values, one per record and in order: -25.08, -30.35, -21.44, -51.59, -28.57, -31.06, -26.31, -30.46, -37.46, -34.41, -51.50, -24.32, -29.53, -29.55, -26.99, -34.17, -19.62, -18.84, -45.74, -21.98 eV per atom.